1.
VASP calculation (GGA-PBEsol) on a relaxed ZnAsRuBr2 crystal.

Results
SG	P4/mmm, No. 123
formation energy without anion corrections	1077	meV/atom
Fermi-level density of states	1.41	states/eV per atom
total magnetization	2.99	μB per formula unit

Cell: 4.879 4.879 4.896 Å, 90.00 90.00 90.00°
Fractional coordinates of all 5 atoms:
1 Zn 0.000 0.000 0.000
2 As 0.000 0.000 0.500
3 Ru 0.500 0.500 0.500
4 Br 0.000 0.500 0.000
5 Br 0.500 0.000 0.000

=====

2.
VASP calculation (GGA-PBEsol) on a relaxed Rh2CN crystal.

Results
SG	Fm-3m, No. 225
formation energy without anion corrections	1220	meV/atom
Fermi-level density of states	0.90	states/eV per atom
total magnetization	0.00	μB per formula unit

Cell: 3.770 3.770 3.770 Å, 60.00 60.00 60.00°
Fractional coordinates of all 4 atoms:
1 Rh 0.250 0.250 0.250
2 Rh 0.750 0.750 0.750
3 C 0.000 0.000 0.000
4 N 0.500 0.500 0.500

=====

3.
VASP calculation (GGA-PBEsol) on a relaxed Mg5Tc crystal.

Results
E	-2.61	eV per atom
SG	P6/mmm, No. 191
Fermi-level density of states	0.85	states/eV per atom
total magnetization	2.24	μB per formula unit

Cell: 5.453 5.453 4.920 Å, 90.00 90.00 120.00°
Fractional coordinates of all 6 atoms:
1 Mg 0.000 0.500 0.000
2 Mg 0.333 0.667 0.500
3 Mg 0.500 0.000 0.000
4 Mg 0.500 0.500 0.000
5 Mg 0.667 0.333 0.500
6 Tc 0.000 0.000 0.500

=====

4.
VASP calculation (GGA-PBEsol) on a relaxed ReOs crystal.

Results
E	-12.68	eV per atom
SG	R-3m, No. 166
Fermi-level density of states	0.93	states/eV per atom
total magnetization	0.00	μB per formula unit

Cell: 9.086 9.086 9.086 Å, 17.21 17.21 17.21°
Fractional coordinates of all 4 atoms:
1 Re 0.123 0.123 0.123
2 Re 0.877 0.877 0.877
3 Os 0.376 0.376 0.376
4 Os 0.624 0.624 0.624

=====

5.
VASP calculation (GGA-PBEsol) on a relaxed MnNb2CdIn crystal.

Results
E	-5.45	eV per atom
SG	P4/mmm, No. 123
Fermi-level density of states	0.98	states/eV per atom
total magnetization	2.28	μB per formula unit

Cell: 5.046 5.046 4.726 Å, 90.00 90.00 90.00°
Fractional coordinates of all 5 atoms:
1 Mn 0.000 0.000 0.000
2 Nb 0.000 0.500 0.500
3 Nb 0.500 0.000 0.500
4 Cd 0.500 0.500 0.000
5 In 0.000 0.000 0.500

=====

6.
VASP calculation (GGA-PBEsol) on a relaxed NbMo3Se crystal.

Results
SG	Pm-3m, No. 221
formation energy without anion corrections	1059	meV/atom
Fermi-level density of states	1.72	states/eV per atom
total magnetization	0.00	μB per formula unit

Cell: 4.518 4.518 4.518 Å, 90.00 90.00 90.00°
Fractional coordinates of all 5 atoms:
1 Nb 0.000 0.000 0.000
2 Mo 0.000 0.500 0.500
3 Mo 0.500 0.000 0.500
4 Mo 0.500 0.500 0.000
5 Se 0.500 0.500 0.500

=====

7.
VASP calculation (GGA-PBEsol) on a relaxed SrLaFeSnO6 crystal.

Results
SG	Pc, No. 7
formation energy without anion corrections	-2315	meV/atom
total magnetization	5.01	μB per formula unit

Cell: 5.616 5.683 9.722 Å, 90.00 125.06 90.00°
Fractional coordinates of all 20 atoms:
1 Sr 0.000 0.218 0.000
2 Sr 0.000 0.782 0.500
3 La 0.481 0.294 0.499
4 La 0.481 0.706 0.999
5 Fe 0.243 0.248 0.750
6 Fe 0.243 0.752 0.250
7 Sn 0.743 0.246 0.250
8 Sn 0.743 0.754 0.750
9 O 0.005 0.468 0.789
10 O 0.005 0.532 0.289
11 O 0.085 0.040 0.295
12 O 0.085 0.960 0.795
13 O 0.419 0.471 0.209
14 O 0.419 0.529 0.709
15 O 0.490 0.048 0.705
16 O 0.490 0.952 0.205
17 O 0.559 0.274 0.996
18 O 0.559 0.726 0.496
19 O 0.908 0.233 0.503
20 O 0.908 0.767 0.003

=====

8.
VASP calculation (GGA-PBEsol) on a relaxed LaFeI2N crystal.

Results
SG	P4/mmm, No. 123
formation energy without anion corrections	-293	meV/atom
Fermi-level density of states	0.53	states/eV per atom
total magnetization	0.00	μB per formula unit

Cell: 5.464 5.464 3.573 Å, 90.00 90.00 90.00°
Fractional coordinates of all 5 atoms:
1 La 0.000 0.000 0.000
2 Fe 0.500 0.500 0.500
3 I 0.000 0.500 0.500
4 I 0.500 0.000 0.500
5 N 0.500 0.500 0.000

=====

9.
VASP calculation (GGA-PBEsol) on a relaxed HRuPt2 crystal.

Results
E	-6.50	eV per atom
SG	I-42d, No. 122
Fermi-level density of states	1.34	states/eV per atom
total magnetization	0.00	μB per formula unit

Cell: 5.016 5.016 5.016 Å, 105.90 105.90 116.88°
Fractional coordinates of all 8 atoms:
1 H 0.000 0.000 0.000
2 H 0.750 0.250 0.500
3 Ru 0.250 0.750 0.500
4 Ru 0.500 0.500 0.000
5 Pt 0.027 0.625 0.902
6 Pt 0.375 0.277 0.402
7 Pt 0.723 0.125 0.098
8 Pt 0.875 0.973 0.598

=====

10.
VASP calculation (GGA-PBEsol) on a relaxed Zr2ScAl crystal.

Results
E	-7.44	eV per atom
SG	P4mm, No. 99
Fermi-level density of states	0.86	states/eV per atom
total magnetization	0.00	μB per formula unit

Cell: 3.130 3.130 8.446 Å, 90.00 90.00 90.00°
Fractional coordinates of all 4 atoms:
1 Zr 0.000 0.000 0.000
2 Zr 0.500 0.500 0.270
3 Sc 0.500 0.500 0.734
4 Al 0.000 0.000 0.501

=====

11.
VASP calculation (GGA-PBEsol) on a relaxed N crystal.

Results
SG	Imma, No. 74
formation energy without anion corrections	854	meV/atom
Fermi-level density of states	0.28	states/eV per atom
total magnetization	0.00	μB per formula unit

Cell: 3.699 3.699 3.699 Å, 145.91 63.49 128.18°
Fractional coordinates of all 2 atoms:
1 N 0.391 0.141 0.250
2 N 0.609 0.859 0.750

=====

12.
VASP calculation (GGA-PBEsol) on a relaxed CaZr2In crystal.

Results
E	-5.80	eV per atom
SG	Cm, No. 8
Fermi-level density of states	1.06	states/eV per atom
total magnetization	0.00	μB per formula unit

Cell: 5.474 5.474 5.822 Å, 98.94 98.94 33.91°
Fractional coordinates of all 4 atoms:
1 Ca 0.000 0.000 0.000
2 Zr 0.511 0.511 0.497
3 Zr 0.769 0.769 0.312
4 In 0.251 0.251 0.763

=====

Question: Which value of total magnetization does entry 1 give?
Answer: 2.99 μB per formula unit

=====

Question: Number 3 is which compound?
Answer: Mg5Tc

=====

Repeat the fifth record exactly.
VASP calculation (GGA-PBEsol) on a relaxed MnNb2CdIn crystal.

Results
E	-5.45	eV per atom
SG	P4/mmm, No. 123
Fermi-level density of states	0.98	states/eV per atom
total magnetization	2.28	μB per formula unit

Cell: 5.046 5.046 4.726 Å, 90.00 90.00 90.00°
Fractional coordinates of all 5 atoms:
1 Mn 0.000 0.000 0.000
2 Nb 0.000 0.500 0.500
3 Nb 0.500 0.000 0.500
4 Cd 0.500 0.500 0.000
5 In 0.000 0.000 0.500